P | Compound: NbTcGe2
Source: the Alexandria database
Functional: GGA-PBE
Structure: optimized geometry

abc: 3.753 3.753 6.141
angles: 72.21 72.21 60.00
Atoms (fractional coordinates):
Nb: 0.672 0.672 0.984
Tc: 0.493 0.493 0.521
Ge: 0.090 0.090 0.730
Ge: 0.245 0.245 0.265

Computed properties:
M_tot = 0.32 Bohr magnetons per cell
Volume = 17.53 Å³ per atom
Density of states at the Fermi level = 0.9914 states/eV/atom


Q | Compound: NbTcGe2
Source: the Alexandria database
Functional: GGA-PBE
Structure: optimized geometry

abc: 4.457 4.457 4.457
angles: 60.00 60.00 60.00
Atoms (fractional coordinates):
Nb: 0.000 0.000 0.000
Ge: 0.250 0.250 0.250
Ge: 0.750 0.750 0.750
Tc: 0.500 0.500 0.500

Computed properties:
M_tot = 0.00 Bohr magnetons per cell
Volume = 15.65 Å³ per atom
Density of states at the Fermi level = 2.3337 states/eV/atom


Stability summary - winner: Q; margin: 2.1 kJ/mol of atoms.


P | Compound: NbTcGe2
Source: the Alexandria database
Functional: GGA-PBE
Structure: optimized geometry

abc: 3.085 3.085 6.572
angles: 90.00 90.00 90.00
Atoms (fractional coordinates):
Nb: 0.500 0.500 0.500
Ge: 0.000 0.000 0.778
Ge: 0.000 0.000 0.222
Tc: 0.500 0.500 0.000

Computed properties:
M_tot = 0.00 Bohr magnetons per cell
Volume = 15.64 Å³ per atom
Density of states at the Fermi level = 0.8574 states/eV/atom


Q | Compound: NbTcGe2
Source: the Alexandria database
Functional: GGA-PBE
Structure: optimized geometry

abc: 3.859 3.859 9.703
angles: 78.53 78.53 90.00
Atoms (fractional coordinates):
Nb: 0.500 0.500 0.000
Nb: 0.250 0.750 0.500
Ge: 0.636 0.125 0.250
Ge: 0.114 0.625 0.250
Ge: 0.375 0.364 0.750
Ge: 0.875 0.886 0.750
Tc: 0.000 0.000 0.000
Tc: 0.750 0.250 0.500

Computed properties:
M_tot = 0.00 Bohr magnetons per cell
Volume = 17.33 Å³ per atom
Density of states at the Fermi level = 0.8844 states/eV/atom


R | Compound: NbTcGe2
Source: the Alexandria database
Functional: GGA-PBE
Structure: optimized geometry

abc: 5.101 6.626 6.626
angles: 136.00 100.64 100.64
Atoms (fractional coordinates):
Nb: 0.750 0.861 0.139
Nb: 0.250 0.139 0.861
Tc: 0.750 0.491 0.509
Tc: 0.250 0.509 0.491
Ge: 0.878 0.462 0.137
Ge: 0.622 0.863 0.538
Ge: 0.122 0.538 0.863
Ge: 0.378 0.137 0.462

Computed properties:
M_tot = 0.00 Bohr magnetons per cell
Volume = 16.92 Å³ per atom
Density of states at the Fermi level = 0.6058 states/eV/atom


Stability summary - winner: P; margin: 11.8 kJ/mol of atoms.


P | Compound: NbTc3Ge
Source: the Alexandria database
Functional: GGA-PBE
Structure: optimized geometry

abc: 4.745 4.745 4.745
angles: 90.00 90.00 90.00
Atoms (fractional coordinates):
Nb: 0.000 0.000 0.000
Ge: 0.500 0.500 0.500
Tc: 0.000 0.500 0.000
Tc: 0.000 0.000 0.500
Tc: 0.500 0.000 0.000

Computed properties:
M_tot = 2.65 Bohr magnetons per cell
Volume = 21.37 Å³ per atom
Density of states at the Fermi level = 1.1242 states/eV/atom


Q | Compound: NbTc3Ge
Source: the Alexandria database
Functional: GGA-PBE
Structure: optimized geometry

abc: 4.486 4.486 4.486
angles: 90.00 90.00 90.00
Atoms (fractional coordinates):
Nb: 0.500 0.500 0.500
Ge: 0.000 0.000 0.000
Tc: 0.000 0.500 0.000
Tc: 0.000 0.000 0.500
Tc: 0.500 0.000 0.000

Computed properties:
M_tot = 0.00 Bohr magnetons per cell
Volume = 18.05 Å³ per atom
Density of states at the Fermi level = 1.1129 states/eV/atom


Stability summary - winner: Q; margin: 73.8 kJ/mol of atoms.


P | Compound: Nb2Ge2Te
Source: the Alexandria database
Functional: GGA-PBE
Structure: optimized geometry

abc: 7.439 7.439 3.462
angles: 90.00 90.00 90.00
Atoms (fractional coordinates):
Nb: 0.342 0.842 0.000
Nb: 0.842 0.658 0.000
Nb: 0.658 0.158 0.000
Nb: 0.158 0.342 0.000
Te: 0.000 0.000 0.000
Te: 0.500 0.500 0.000
Ge: 0.131 0.631 0.500
Ge: 0.631 0.869 0.500
Ge: 0.869 0.369 0.500
Ge: 0.369 0.131 0.500

Computed properties:
M_tot = 0.00 Bohr magnetons per cell
Volume = 19.16 Å³ per atom
Density of states at the Fermi level = 0.7687 states/eV/atom


Q | Compound: Nb2Ge2Te
Source: the Alexandria database
Functional: GGA-PBE
Structure: optimized geometry

abc: 3.651 3.651 7.586
angles: 76.08 76.08 90.00
Atoms (fractional coordinates):
Nb: 0.392 0.392 0.216
Nb: 0.608 0.608 0.784
Te: 0.000 0.000 0.000
Ge: 0.750 0.250 0.500
Ge: 0.250 0.750 0.500

Computed properties:
M_tot = 0.00 Bohr magnetons per cell
Volume = 19.01 Å³ per atom
Density of states at the Fermi level = 1.1004 states/eV/atom


Stability summary - winner: P; margin: 0.7 kJ/mol of atoms.


P | Compound: Ti2NbGe2
Source: the Alexandria database
Functional: GGA-PBE
Structure: optimized geometry

abc: 6.873 6.873 3.461
angles: 90.00 90.00 90.00
Atoms (fractional coordinates):
Nb: 0.000 0.000 0.000
Nb: 0.500 0.500 0.000
Ge: 0.369 0.869 0.000
Ge: 0.869 0.631 0.000
Ge: 0.631 0.131 0.000
Ge: 0.131 0.369 0.000
Ti: 0.170 0.670 0.500
Ti: 0.670 0.830 0.500
Ti: 0.830 0.330 0.500
Ti: 0.330 0.170 0.500

Computed properties:
M_tot = 0.00 Bohr magnetons per cell
Volume = 16.35 Å³ per atom
Density of states at the Fermi level = 0.5244 states/eV/atom


Q | Compound: Ti2NbGe2
Source: the Alexandria database
Functional: GGA-PBE
Structure: optimized geometry

abc: 7.627 7.627 2.871
angles: 90.00 90.00 90.00
Atoms (fractional coordinates):
Nb: 0.000 0.000 0.000
Nb: 0.500 0.500 0.000
Ge: 0.174 0.674 0.500
Ge: 0.674 0.826 0.500
Ge: 0.826 0.326 0.500
Ge: 0.326 0.174 0.500
Ti: 0.375 0.875 0.000
Ti: 0.875 0.625 0.000
Ti: 0.625 0.125 0.000
Ti: 0.125 0.375 0.000

Computed properties:
M_tot = 0.00 Bohr magnetons per cell
Volume = 16.70 Å³ per atom
Density of states at the Fermi level = 1.1853 states/eV/atom


R | Compound: Ti2NbGe2
Source: the Alexandria database
Functional: GGA-PBE
Structure: optimized geometry

abc: 3.554 3.554 7.514
angles: 76.32 76.32 90.00
Atoms (fractional coordinates):
Nb: 0.000 0.000 0.000
Ge: 0.750 0.250 0.500
Ge: 0.250 0.750 0.500
Ti: 0.399 0.399 0.201
Ti: 0.601 0.601 0.799

Computed properties:
M_tot = 0.00 Bohr magnetons per cell
Volume = 17.89 Å³ per atom
Density of states at the Fermi level = 1.0731 states/eV/atom


Stability summary - winner: P; margin: 44.8 kJ/mol of atoms.


P | Compound: TiNbGe2
Source: the Alexandria database
Functional: GGA-PBE
Structure: optimized geometry

abc: 5.891 5.891 7.110
angles: 65.53 65.53 90.00
Atoms (fractional coordinates):
Nb: 0.000 0.000 0.000
Nb: 0.750 0.250 0.500
Ge: 0.624 0.125 0.250
Ge: 0.126 0.625 0.250
Ge: 0.375 0.376 0.750
Ge: 0.875 0.874 0.750
Ti: 0.500 0.500 0.000
Ti: 0.250 0.750 0.500

Computed properties:
M_tot = 0.00 Bohr magnetons per cell
Volume = 24.99 Å³ per atom
Density of states at the Fermi level = 0.9966 states/eV/atom


Q | Compound: TiNbGe2
Source: the Alexandria database
Functional: GGA-PBE
Structure: optimized geometry

abc: 5.427 6.739 7.865
angles: 90.00 90.00 90.00
Atoms (fractional coordinates):
Ti: 0.750 0.079 0.625
Ti: 0.250 0.421 0.625
Ti: 0.250 0.921 0.375
Ti: 0.750 0.579 0.375
Nb: 0.250 0.409 0.124
Nb: 0.250 0.909 0.876
Nb: 0.750 0.091 0.124
Nb: 0.750 0.591 0.876
Ge: 0.500 0.750 0.132
Ge: 0.000 0.750 0.132
Ge: 0.000 0.250 0.381
Ge: 0.000 0.250 0.868
Ge: 0.000 0.750 0.619
Ge: 0.500 0.750 0.619
Ge: 0.500 0.250 0.868
Ge: 0.500 0.250 0.381

Computed properties:
M_tot = 0.00 Bohr magnetons per cell
Volume = 17.98 Å³ per atom
Density of states at the Fermi level = 0.6205 states/eV/atom


Stability summary - winner: Q; margin: 88.3 kJ/mol of atoms.


P | Compound: TiNbGe2
Source: the Alexandria database
Functional: GGA-PBE
Structure: optimized geometry

abc: 2.991 2.991 8.888
angles: 80.31 80.31 60.00
Atoms (fractional coordinates):
Nb: 0.500 0.500 0.500
Ge: 0.749 0.749 0.754
Ge: 0.251 0.251 0.246
Ti: 0.000 0.000 0.000

Computed properties:
M_tot = 0.00 Bohr magnetons per cell
Volume = 16.88 Å³ per atom
Density of states at the Fermi level = 1.0610 states/eV/atom


Q | Compound: TiNbGe2
Source: the Alexandria database
Functional: GGA-PBE
Structure: optimized geometry

abc: 4.541 4.541 4.541
angles: 60.00 60.00 60.00
Atoms (fractional coordinates):
Nb: 0.500 0.500 0.500
Ge: 0.250 0.250 0.250
Ge: 0.750 0.750 0.750
Ti: 0.000 0.000 0.000

Computed properties:
M_tot = 0.00 Bohr magnetons per cell
Volume = 16.55 Å³ per atom
Density of states at the Fermi level = 1.0611 states/eV/atom


Stability summary - winner: Q; margin: 2.0 kJ/mol of atoms.


P | Compound: TiNb3Ge
Source: the Alexandria database
Functional: GGA-PBE
Structure: optimized geometry

abc: 4.691 4.691 4.691
angles: 90.00 90.00 90.00
Atoms (fractional coordinates):
Nb: 0.000 0.500 0.000
Nb: 0.000 0.000 0.500
Nb: 0.500 0.000 0.000
Ge: 0.500 0.500 0.500
Ti: 0.000 0.000 0.000

Computed properties:
M_tot = 0.00 Bohr magnetons per cell
Volume = 20.64 Å³ per atom
Density of states at the Fermi level = 0.7728 states/eV/atom


Q | Compound: TiNb3Ge
Source: the Alexandria database
Functional: GGA-PBE
Structure: optimized geometry

abc: 4.759 4.759 4.759
angles: 90.00 90.00 90.00
Atoms (fractional coordinates):
Nb: 0.000 0.500 0.000
Nb: 0.000 0.000 0.500
Nb: 0.500 0.000 0.000
Ge: 0.000 0.000 0.000
Ti: 0.500 0.500 0.500

Computed properties:
M_tot = 0.00 Bohr magnetons per cell
Volume = 21.56 Å³ per atom
Density of states at the Fermi level = 1.3113 states/eV/atom


Stability summary - winner: Q; margin: 28.6 kJ/mol of atoms.


P | Compound: Ti3NbGe
Source: the Alexandria database
Functional: GGA-PBE
Structure: optimized geometry

abc: 4.666 4.666 4.666
angles: 90.00 90.00 90.00
Atoms (fractional coordinates):
Nb: 0.500 0.500 0.500
Ge: 0.000 0.000 0.000
Ti: 0.000 0.500 0.000
Ti: 0.000 0.000 0.500
Ti: 0.500 0.000 0.000

Computed properties:
M_tot = 0.61 Bohr magnetons per cell
Volume = 20.31 Å³ per atom
Density of states at the Fermi level = 0.9264 states/eV/atom


Q | Compound: Ti3NbGe
Source: the Alexandria database
Functional: GGA-PBE
Structure: optimized geometry

abc: 4.769 4.769 4.769
angles: 90.00 90.00 90.00
Atoms (fractional coordinates):
Nb: 0.000 0.000 0.000
Ge: 0.500 0.500 0.500
Ti: 0.000 0.500 0.000
Ti: 0.000 0.000 0.500
Ti: 0.500 0.000 0.000

Computed properties:
M_tot = 1.20 Bohr magnetons per cell
Volume = 21.70 Å³ per atom
Density of states at the Fermi level = 1.3948 states/eV/atom


Stability summary - winner: P; margin: 37.6 kJ/mol of atoms.


P | Compound: Nb2VGe2
Source: the Alexandria database
Functional: GGA-PBE
Structure: optimized geometry

abc: 3.595 6.125 8.008
angles: 90.00 102.97 90.00
Atoms (fractional coordinates):
Nb: 0.979 0.776 0.958
Nb: 0.812 0.383 0.624
Nb: 0.188 0.883 0.376
Nb: 0.021 0.276 0.042
V: 0.400 0.079 0.801
V: 0.600 0.579 0.199
Ge: 0.427 0.495 0.853
Ge: 0.813 0.901 0.625
Ge: 0.187 0.401 0.375
Ge: 0.573 0.995 0.147

Computed properties:
M_tot = 0.00 Bohr magnetons per cell
Volume = 17.18 Å³ per atom
Density of states at the Fermi level = 0.7219 states/eV/atom


Q | Compound: Nb2VGe2
Source: the Alexandria database
Functional: GGA-PBE
Structure: optimized geometry

abc: 6.665 6.665 3.640
angles: 90.00 90.00 90.00
Atoms (fractional coordinates):
Nb: 0.168 0.668 0.500
Nb: 0.668 0.832 0.500
Nb: 0.832 0.332 0.500
Nb: 0.332 0.168 0.500
Ge: 0.363 0.863 0.000
Ge: 0.863 0.637 0.000
Ge: 0.637 0.137 0.000
Ge: 0.137 0.363 0.000
V: 0.000 0.000 0.000
V: 0.500 0.500 0.000

Computed properties:
M_tot = 0.17 Bohr magnetons per cell
Volume = 16.17 Å³ per atom
Density of states at the Fermi level = 0.8023 states/eV/atom


Stability summary - winner: Q; margin: 15.7 kJ/mol of atoms.


P | Compound: NbV3Ge
Source: the Alexandria database
Functional: GGA-PBE
Structure: optimized geometry

abc: 4.463 4.463 4.463
angles: 90.00 90.00 90.00
Atoms (fractional coordinates):
Nb: 0.500 0.500 0.500
Ge: 0.000 0.000 0.000
V: 0.000 0.500 0.000
V: 0.000 0.000 0.500
V: 0.500 0.000 0.000

Computed properties:
M_tot = 1.07 Bohr magnetons per cell
Volume = 17.77 Å³ per atom
Density of states at the Fermi level = 1.1616 states/eV/atom


Q | Compound: NbV3Ge
Source: the Alexandria database
Functional: GGA-PBE
Structure: optimized geometry

abc: 3.195 8.562 11.014
angles: 90.00 90.00 90.00
Atoms (fractional coordinates):
Nb: 0.750 0.853 0.990
Nb: 0.250 0.647 0.490
Nb: 0.750 0.353 0.510
Nb: 0.250 0.147 0.010
V: 0.250 0.565 0.089
V: 0.750 0.435 0.911
V: 0.250 0.065 0.411
V: 0.750 0.935 0.589
V: 0.250 0.414 0.728
V: 0.750 0.086 0.228
V: 0.250 0.914 0.772
V: 0.750 0.656 0.693
V: 0.250 0.344 0.307
V: 0.750 0.156 0.807
V: 0.750 0.586 0.272
V: 0.250 0.844 0.193
Ge: 0.250 0.152 0.630
Ge: 0.250 0.652 0.870
Ge: 0.750 0.348 0.130
Ge: 0.750 0.848 0.370

Computed properties:
M_tot = 0.00 Bohr magnetons per cell
Volume = 15.07 Å³ per atom
Density of states at the Fermi level = 1.0907 states/eV/atom


R | Compound: NbV3Ge
Source: the Alexandria database
Functional: GGA-PBE
Structure: optimized geometry

abc: 4.584 4.584 4.584
angles: 90.00 90.00 90.00
Atoms (fractional coordinates):
Nb: 0.000 0.000 0.000
Ge: 0.500 0.500 0.500
V: 0.000 0.500 0.000
V: 0.000 0.000 0.500
V: 0.500 0.000 0.000

Computed properties:
M_tot = 0.00 Bohr magnetons per cell
Volume = 19.27 Å³ per atom
Density of states at the Fermi level = 1.2888 states/eV/atom


Stability summary - winner: Q; margin: 98.7 kJ/mol of atoms.